1.
First-principles (PBE) data for a relaxed Fe2ReTc crystal, as listed in Alexandria via LeMat-Bulk.

Structure (POSCAR):
```
Fe2ReTc
1.0
0.0000 2.9966 2.9966
2.9966 0.0000 2.9966
2.9966 2.9966 0.0000
Fe Re Tc
2 1 1
Direct
0.0000 0.0000 0.0000
0.2500 0.2500 0.2500
0.5000 0.5000 0.5000
0.7500 0.7500 0.7500
```

Properties
Crystal system ... cubic
Total energy ... -39.20 eV/cell
E_form ... 135 meV/atom



2.
First-principles (PBE) data for a relaxed FeRe2Tc crystal, as listed in Alexandria via LeMat-Bulk.

Structure (POSCAR):
```
FeRe2Tc
1.0
1.3617 0.7862 8.7745
-1.3617 0.7862 8.7745
0.0000 -1.5724 8.7745
Fe Re Tc
1 2 1
Direct
0.0000 0.0000 0.0000
0.2529 0.2529 0.2529
0.7471 0.7471 0.7471
0.5000 0.5000 0.5000
```

Properties
Crystal system ... trigonal
Total energy ... -43.31 eV/cell
Energy above the lowest structure with this stoichiometry ... 35 meV per atom
E_form ... 104 meV/atom



3.
First-principles (PBE) data for a relaxed FeRe2Tc crystal, as listed in Alexandria via LeMat-Bulk.

Structure (POSCAR):
```
FeRe2Tc
1.0
-1.8932 1.8932 8.7033
1.8932 -1.8932 8.7033
1.8932 1.8932 -8.7033
Fe Re Tc
2 4 2
Direct
0.0000 0.0000 0.0000
0.7500 0.2500 0.5000
0.0896 0.6250 0.9646
0.3750 0.3396 0.4646
0.6604 0.1250 0.0354
0.8750 0.9104 0.5354
0.2500 0.7500 0.5000
0.5000 0.5000 0.0000
```

Properties
Crystal system ... tetragonal
Total energy ... -81.15 eV/cell
Energy above the lowest structure with this stoichiometry ... 719 meV per atom
E_form ... 787 meV/atom



4.
First-principles (PBE) data for a relaxed FeRe2Tc crystal, as listed in Alexandria via LeMat-Bulk.

Structure (POSCAR):
```
FeRe2Tc
1.0
2.7196 0.0000 0.0000
0.0000 3.8364 0.0000
0.0000 0.0000 5.3960
Fe Re Tc
1 2 1
Direct
0.0000 0.0000 0.0000
0.0000 0.0000 0.4980
0.5000 0.5000 0.7613
0.5000 0.5000 0.2402
```

Properties
Crystal system ... orthorhombic
Total energy ... -43.32 eV/cell
Energy above the lowest structure with this stoichiometry ... 32 meV per atom
E_form ... 101 meV/atom



- Which value of E_form does entry 1 give?
  135 meV/atom



Repeat the third record exactly.
First-principles (PBE) data for a relaxed FeRe2Tc crystal, as listed in Alexandria via LeMat-Bulk.

Structure (POSCAR):
```
FeRe2Tc
1.0
-1.8932 1.8932 8.7033
1.8932 -1.8932 8.7033
1.8932 1.8932 -8.7033
Fe Re Tc
2 4 2
Direct
0.0000 0.0000 0.0000
0.7500 0.2500 0.5000
0.0896 0.6250 0.9646
0.3750 0.3396 0.4646
0.6604 0.1250 0.0354
0.8750 0.9104 0.5354
0.2500 0.7500 0.5000
0.5000 0.5000 0.0000
```

Properties
Crystal system ... tetragonal
Total energy ... -81.15 eV/cell
Energy above the lowest structure with this stoichiometry ... 719 meV per atom
E_form ... 787 meV/atom